[1]
4
Lattice="-2.9617 3.1989 1.5862 -2.1877 -0.6633 4.0366 1.1217 2.5697 3.6958" Properties=species:S:1:pos:R:3 comment="Zr2OsRu (GGA-PBE, optimized geometry)" formation_energy_kj_per_mol_atoms=-56.8 pbc="T T T"
Os -2.0138 2.5526 4.6593
Zr -1.0069 1.2763 2.3296
Zr -3.0208 3.8289 6.9889
Ru 0.0000 0.0000 0.0000

[2]
4
Lattice="-2.3766 -3.9321 4.5209 -4.4847 -4.5379 -0.9180 5.5321 2.2789 -2.3981" Properties=species:S:1:pos:R:3 comment="TlTcCl2 (GGA-PBE, optimized geometry)" relative_energy_mev_per_atom=499 e_form_raw_ev_per_atom=0.336 pbc="T T T"
Cl 0.0000 0.0000 0.0000
Cl -1.1917 -3.2470 -0.7573
Tl -0.1376 -2.9441 1.9622
Tc -3.4307 -4.2350 1.8015

[3]
6
Lattice="3.9879 -2.3024 0.0000 0.0000 4.6048 0.0000 0.0000 0.0000 11.1493" Properties=species:S:1:pos:R:3 comment="KGaSn (GGA-PBE, optimized geometry)" formation_energy_kj_per_mol_atoms=-20.7 pbc="T T T"
K 0.0000 0.0000 0.0000
K 0.0000 0.0000 5.5747
Sn 2.6586 0.0000 8.3620
Sn 1.3293 2.3024 2.7873
Ga 2.6586 0.0000 2.7873
Ga 1.3293 2.3024 8.3620